A crystal of CdAgBi2 relaxed with PBEsol. Source: Alexandria via LeMat-Bulk, functional SCAN.

CIF file:
```
data_CdAgBi2
_chemical_formula_sum 'Cd4 Ag4 Bi8'
_space_group_name_H-M_alt 'I -4 2 d'
_space_group_IT_number 122
_space_group_name_Hall 'I -4 2bw'
_cell_length_a 9.190
_cell_length_b 9.190
_cell_length_c 5.382
_cell_angle_alpha 90.00
_cell_angle_beta 90.00
_cell_angle_gamma 90.00
loop_
_atom_site_label
_atom_site_type_symbol
_atom_site_fract_x
_atom_site_fract_y
_atom_site_fract_z
Cd1 Cd 0.000 0.000 0.000
Ag1 Ag 0.000 0.000 0.500
Bi1 Bi 0.162 0.250 0.625
```



A crystal of CdAg2Bi2 relaxed with PBEsol. Source: Alexandria via LeMat-Bulk, functional SCAN.

CIF file:
```
data_CdAg2Bi2
_chemical_formula_sum 'Cd2 Ag4 Bi4'
_space_group_name_H-M_alt 'I 4/m m m'
_space_group_IT_number 139
_space_group_name_Hall '-I 4 2'
_cell_length_a 3.799
_cell_length_b 3.799
_cell_length_c 16.998
_cell_angle_alpha 90.00
_cell_angle_beta 90.00
_cell_angle_gamma 90.00
loop_
_atom_site_label
_atom_site_type_symbol
_atom_site_fract_x
_atom_site_fract_y
_atom_site_fract_z
Cd1 Cd 0.000 0.000 0.000
Ag1 Ag 0.000 0.500 0.250
Bi1 Bi 0.000 0.000 0.389
```



A crystal of Cd2AgBiOs relaxed with PBEsol. Source: Alexandria via LeMat-Bulk, functional SCAN.

CIF file:
```
data_Cd2AgBiOs
_chemical_formula_sum 'Cd2 Ag1 Bi1 Os1'
_space_group_name_H-M_alt 'P 4/m m m'
_space_group_IT_number 123
_space_group_name_Hall '-P 4 2'
_cell_length_a 4.948
_cell_length_b 4.948
_cell_length_c 4.990
_cell_angle_alpha 90.00
_cell_angle_beta 90.00
_cell_angle_gamma 90.00
loop_
_atom_site_label
_atom_site_type_symbol
_atom_site_fract_x
_atom_site_fract_y
_atom_site_fract_z
Cd1 Cd 0.000 0.500 0.000
Ag1 Ag 0.000 0.000 0.000
Bi1 Bi 0.500 0.500 0.500
Os1 Os 0.000 0.000 0.500
```



A crystal of SrCd2AgBi relaxed with PBEsol. Source: Alexandria via LeMat-Bulk, functional SCAN.

CIF file:
```
data_SrCd2AgBi
_chemical_formula_sum 'Sr1 Cd2 Ag1 Bi1'
_space_group_name_H-M_alt 'P 4/m m m'
_space_group_IT_number 123
_space_group_name_Hall '-P 4 2'
_cell_length_a 5.751
_cell_length_b 5.751
_cell_length_c 5.416
_cell_angle_alpha 90.00
_cell_angle_beta 90.00
_cell_angle_gamma 90.00
loop_
_atom_site_label
_atom_site_type_symbol
_atom_site_fract_x
_atom_site_fract_y
_atom_site_fract_z
Sr1 Sr 0.000 0.000 0.000
Cd1 Cd 0.000 0.500 0.000
Ag1 Ag 0.000 0.000 0.500
Bi1 Bi 0.500 0.500 0.500
```



no.,volume (Å³/cell),ΔE_f (kcal/mol of atoms)
1,455,3.2
2,245,4.1
3,122,28.2
4,179,20.5